# MgHgBr2, optimized geometry, DFT PBE
data_MgHgBr2
_chemical_formula_sum 'Mg2 Hg2 Br4'
_space_group_name_H-M_alt 'I m m m'
_space_group_IT_number 71
_space_group_name_Hall '-I 2 2'
_cell_length_a 3.6788
_cell_length_b 7.2416
_cell_length_c 11.0138
_cell_angle_alpha 90.00
_cell_angle_beta 90.00
_cell_angle_gamma 90.00
loop_
_atom_site_label
_atom_site_fract_x
_atom_site_fract_y
_atom_site_fract_z
Mg1 0.0000 0.0000 0.0000
Hg1 0.0000 0.0000 0.5000
Br1 0.0000 0.5000 0.3370
# Density of states at the Fermi level   0.00 states/eV/f.u.
# E above lowest polymorph   0.60 eV per formula unit
# E_form (uncorrected)   -0.943 eV per atom